Here is crystalline Nd2Ga5PdRu2 at its relaxed geometry from Alexandria via LeMat-Bulk. Energies are from GGA-PBE.

Cell and atoms, written as POSCAR:
```
Nd2Ga5PdRu2
1.0
-1.8863 1.0839 -2.4028
4.3714 -7.1225 -6.6448
-7.5017 -7.1074 2.6833
Ga Pd Nd Ru
10 2 4 4
Cartesian
-3.7277 -8.3309 -3.0178
1.2425 -3.0193 -4.5238
1.7411 -7.5763 -6.9709
-1.2890 -4.8151 -3.3464
-4.5190 -11.9280 -4.0192
-4.6940 -3.0118 0.1403
-1.2602 -7.5725 -4.6129
-6.7578 -5.5697 0.6066
-3.7565 -5.5735 -1.7514
-0.4977 -1.2180 -2.3450
0.0000 0.0000 0.0000
-1.5652 -7.1150 -1.9807
-4.7454 -8.0748 0.0830
-1.5866 -3.5565 -0.3587
-1.5438 -10.6735 -3.6028
1.6151 -6.1551 -4.0445
-3.8157 -10.6706 -1.8179
0.6853 -3.5593 -2.1436
1.0161 -8.8780 -4.8025
-4.1464 -5.3519 0.8410
```

Output
* DFT formation energy: -0.42 eV/atom
* total energy: -5.2603 eV per atom



Here is crystalline Zr2Al2Ni at its relaxed geometry from Alexandria via LeMat-Bulk. Energies are from GGA-PBE.

Cell and atoms, written as POSCAR:
```
Zr2Al2Ni
1.0
6.3537 0.0000 0.0000
0.0000 6.3537 0.0000
0.0000 0.0000 4.4192
Ni Al Zr
2 4 4
Cartesian
3.1769 3.1769 0.0000
0.0000 0.0000 0.0000
0.9148 2.2621 0.0000
4.0916 0.9148 0.0000
2.2621 5.4389 0.0000
5.4389 4.0916 0.0000
1.0767 4.2536 2.2096
4.2536 5.2770 2.2096
5.2770 2.1001 2.2096
2.1001 1.0767 2.2096
```

Output
* DFT formation energy: -0.46 eV/atom
* excess energy over the best structure of this formula in the dataset: 39 meV/atom
* total energy: -6.5330 eV per atom



Here is crystalline HfBe2Co2 at its relaxed geometry from Alexandria via LeMat-Bulk. Energies are from GGA-PBE.

Cell and atoms, written as POSCAR:
```
HfBe2Co2
1.0
-3.0840 -1.8789 0.2453
1.6244 -2.3802 2.1903
-1.9418 0.3254 4.7845
Hf Co Be
1 2 2
Cartesian
0.0000 0.0000 0.0000
-2.3666 -2.4220 5.1047
-1.0348 -1.5117 2.1154
-2.8778 -1.8415 3.1238
-0.5236 -2.0921 4.0963
```

Output
* DFT formation energy: -0.20 eV/atom
* excess energy over the best structure of this formula in the dataset: 93 meV/atom
* total energy: -6.5274 eV per atom